Record 1
{
  "formula": "Sc2NiIr2",
  "functional": "PBE",
  "state": "relaxed",
  "cell": [[-1.799, 1.799, 7.282], [1.799, -1.799, 7.282], [1.799, 1.799, -7.282]],
  "species": ["Sc", "Sc", "Ni", "Ir", "Ir"],
  "fractional_positions": [[0.104, 0.104, 0.000], [0.896, 0.896, 0.000], [0.500, 0.500, 0.000], [0.250, 0.750, 0.500], [0.750, 0.250, 0.500]],
  "total_magnetization_mub_per_atom": 0.00,
  "ef_ev_per_atom": -0.162,
  "relative_energy_mev_per_atom": 448,
  "final_energy_ev_per_atom": -7.39,
  "dos_ef_per_ev_cell": 4.61,
  "crystal_system": "tetragonal",
  "sg": "I4/mmm (139)"
}


Record 2
{
  "formula": "ScNi4Ir",
  "functional": "PBE",
  "state": "relaxed",
  "cell": [[0.000, 3.373, 3.373], [3.373, 0.000, 3.373], [3.373, 3.373, 0.000]],
  "species": ["Sc", "Ni", "Ni", "Ni", "Ni", "Ir"],
  "fractional_positions": [[0.000, 0.000, 0.000], [0.127, 0.624, 0.624], [0.624, 0.127, 0.624], [0.624, 0.624, 0.127], [0.624, 0.624, 0.624], [0.250, 0.250, 0.250]],
  "total_magnetization_mub_per_atom": 0.36,
  "ef_ev_per_atom": -0.305,
  "relative_energy_mev_per_atom": 0,
  "final_energy_ev_per_atom": -6.69,
  "dos_ef_per_ev_cell": 10.63,
  "crystal_system": "cubic",
  "sg": "F-43m (216)"
}


Record 3
{
  "formula": "ScNiIr2",
  "functional": "PBE",
  "state": "relaxed",
  "cell": [[1.446, 0.835, 8.360], [-1.446, 0.835, 8.360], [0.000, -1.669, 8.360]],
  "species": ["Sc", "Ni", "Ir", "Ir"],
  "fractional_positions": [[0.000, 0.000, 0.000], [0.500, 0.500, 0.500], [0.247, 0.247, 0.247], [0.753, 0.753, 0.753]],
  "total_magnetization_mub_per_atom": 0.23,
  "ef_ev_per_atom": -0.090,
  "final_energy_ev_per_atom": -7.55,
  "dos_ef_per_ev_cell": 5.97,
  "crystal_system": "trigonal",
  "sg": "R-3m (166)"
}


Record 4
{
  "formula": "ScNiIr2",
  "functional": "PBE",
  "state": "relaxed",
  "cell": [[2.810, 0.000, 0.000], [0.000, 3.857, 0.000], [0.000, 0.000, 5.485]],
  "species": ["Sc", "Ni", "Ir", "Ir"],
  "fractional_positions": [[0.000, 0.000, 0.000], [0.500, 0.500, 0.741], [0.000, 0.000, 0.510], [0.500, 0.500, 0.278]],
  "total_magnetization_mub_per_atom": 0.00,
  "ef_ev_per_atom": -0.354,
  "final_energy_ev_per_atom": -7.81,
  "dos_ef_per_ev_cell": 4.46,
  "crystal_system": "orthorhombic",
  "sg": "Pmm2 (25)"
}


Record 5
{
  "formula": "Sc3NiIr",
  "functional": "PBE",
  "state": "relaxed",
  "cell": [[4.973, 0.000, 0.000], [0.000, 4.973, 0.000], [0.000, 0.000, 4.973]],
  "species": ["Sc", "Sc", "Sc", "Ni", "Ir"],
  "fractional_positions": [[0.000, 0.000, 0.500], [0.000, 0.500, 0.000], [0.500, 0.000, 0.000], [0.500, 0.500, 0.500], [0.000, 0.000, 0.000]],
  "total_magnetization_mub_per_atom": 0.00,
  "ef_ev_per_atom": 0.049,
  "relative_energy_mev_per_atom": 661,
  "final_energy_ev_per_atom": -6.68,
  "dos_ef_per_ev_cell": 4.81,
  "crystal_system": "cubic",
  "sg": "Pm-3m (221)"
}


Record 6
{
  "formula": "ScNiIr",
  "functional": "PBE",
  "state": "relaxed",
  "cell": [[2.471, -4.645, 0.000], [2.471, 4.645, 0.000], [-2.299, 0.000, 3.997]],
  "species": ["Sc", "Sc", "Ni", "Ni", "Ir", "Ir"],
  "fractional_positions": [[0.130, 0.870, 0.500], [0.870, 0.130, 0.000], [0.145, 0.477, 0.684], [0.477, 0.145, 0.184], [0.528, 0.695, 0.308], [0.695, 0.528, 0.808]],
  "total_magnetization_mub_per_atom": 0.00,
  "ef_ev_per_atom": -0.476,
  "relative_energy_mev_per_atom": 227,
  "final_energy_ev_per_atom": -7.47,
  "dos_ef_per_ev_cell": 3.59,
  "crystal_system": "monoclinic",
  "sg": "Cc (9)"
}


Record 7
{
  "formula": "ScNiIr2",
  "functional": "PBE",
  "state": "relaxed",
  "cell": [[4.577, -1.431, 0.000], [4.577, 1.431, 0.000], [-0.954, 0.000, 4.542]],
  "species": ["Sc", "Ni", "Ir", "Ir"],
  "fractional_positions": [[0.000, 0.000, 0.000], [0.756, 0.756, 0.233], [0.242, 0.242, 0.694], [0.497, 0.497, 0.496]],
  "total_magnetization_mub_per_atom": 0.00,
  "ef_ev_per_atom": -0.372,
  "final_energy_ev_per_atom": -7.83,
  "dos_ef_per_ev_cell": 3.45,
  "crystal_system": "monoclinic",
  "sg": "Cm (8)"
}


Record 8
{
  "formula": "ScNiIr",
  "functional": "PBE",
  "state": "relaxed",
  "cell": [[3.942, -2.493, 0.000], [3.942, 2.493, 0.000], [-3.610, 0.000, 4.701]],
  "species": ["Sc", "Sc", "Ni", "Ni", "Ir", "Ir"],
  "fractional_positions": [[0.000, 0.000, 0.000], [0.709, 0.291, 0.500], [0.336, 0.437, 0.078], [0.563, 0.664, 0.922], [0.390, 0.019, 0.610], [0.981, 0.610, 0.390]],
  "total_magnetization_mub_per_atom": 0.00,
  "ef_ev_per_atom": -0.462,
  "relative_energy_mev_per_atom": 240,
  "final_energy_ev_per_atom": -7.45,
  "dos_ef_per_ev_cell": 4.41,
  "crystal_system": "monoclinic",
  "sg": "C2 (5)"
}


Record 9
{
  "formula": "ScNi4Ir",
  "functional": "PBE",
  "state": "relaxed",
  "cell": [[7.146, 0.000, 0.000], [0.000, 3.762, 0.000], [0.000, 0.000, 6.222]],
  "species": ["Sc", "Sc", "Ni", "Ni", "Ni", "Ni", "Ni", "Ni", "Ni", "Ni", "Ir", "Ir"],
  "fractional_positions": [[0.250, 0.000, 0.158], [0.750, 0.000, 0.842], [0.000, 0.000, 0.500], [0.031, 0.500, 0.796], [0.250, 0.500, 0.472], [0.469, 0.500, 0.796], [0.500, 0.000, 0.500], [0.531, 0.500, 0.204], [0.750, 0.500, 0.528], [0.969, 0.500, 0.204], [0.250, 0.000, 0.757], [0.750, 0.000, 0.243]],
  "total_magnetization_mub_per_atom": 0.23,
  "ef_ev_per_atom": -0.070,
  "relative_energy_mev_per_atom": 235,
  "final_energy_ev_per_atom": -6.46,
  "dos_ef_per_ev_cell": 18.44,
  "crystal_system": "orthorhombic",
  "sg": "Pmma (51)"
}


Record 10
{
  "formula": "ScNiIr2",
  "functional": "PBE",
  "state": "relaxed",
  "cell": [[-1.933, 1.933, 8.844], [1.933, -1.933, 8.844], [1.933, 1.933, -8.844]],
  "species": ["Sc", "Sc", "Ni", "Ni", "Ir", "Ir", "Ir", "Ir"],
  "fractional_positions": [[0.000, 0.000, 0.000], [0.750, 0.250, 0.500], [0.250, 0.750, 0.500], [0.500, 0.500, 0.000], [0.171, 0.625, 0.046], [0.375, 0.421, 0.546], [0.579, 0.125, 0.954], [0.875, 0.829, 0.454]],
  "total_magnetization_mub_per_atom": 0.00,
  "ef_ev_per_atom": -0.067,
  "final_energy_ev_per_atom": -7.53,
  "dos_ef_per_ev_cell": 8.66,
  "crystal_system": "tetragonal",
  "sg": "I-42d (122)"
}


Record 11
{
  "formula": "ScNiIr",
  "functional": "PBE",
  "state": "relaxed",
  "cell": [[4.754, 0.000, 0.000], [0.000, 4.386, 0.000], [-1.988, 0.000, 4.501]],
  "species": ["Sc", "Sc", "Ni", "Ni", "Ir", "Ir"],
  "fractional_positions": [[0.034, 0.250, 0.244], [0.966, 0.750, 0.756], [0.389, 0.750, 0.551], [0.611, 0.250, 0.449], [0.408, 0.250, 0.850], [0.592, 0.750, 0.150]],
  "total_magnetization_mub_per_atom": 0.00,
  "ef_ev_per_atom": -0.531,
  "relative_energy_mev_per_atom": 172,
  "final_energy_ev_per_atom": -7.52,
  "dos_ef_per_ev_cell": 3.57,
  "crystal_system": "monoclinic",
  "sg": "P2_1/m (11)"
}


Record 12
{
  "formula": "Sc6Ni2Ir",
  "functional": "PBE",
  "state": "relaxed",
  "cell": [[-4.312, 4.439, 4.473], [4.312, -4.439, 4.473], [4.312, 4.439, -4.473]],
  "species": ["Sc", "Sc", "Sc", "Sc", "Sc", "Sc", "Sc", "Sc", "Sc", "Sc", "Sc", "Sc", "Ni", "Ni", "Ni", "Ni", "Ir", "Ir"],
  "fractional_positions": [[0.034, 0.206, 0.828], [0.255, 0.309, 0.564], [0.255, 0.691, 0.946], [0.265, 0.587, 0.322], [0.265, 0.943, 0.678], [0.378, 0.206, 0.172], [0.622, 0.794, 0.828], [0.735, 0.057, 0.322], [0.735, 0.413, 0.678], [0.745, 0.309, 0.054], [0.745, 0.691, 0.436], [0.966, 0.794, 0.172], [0.000, 0.150, 0.150], [0.000, 0.850, 0.850], [0.372, 0.000, 0.372], [0.628, 0.000, 0.628], [0.000, 0.500, 0.500], [0.500, 0.500, 0.000]],
  "total_magnetization_mub_per_atom": 0.00,
  "ef_ev_per_atom": -0.507,
  "final_energy_ev_per_atom": -7.00,
  "dos_ef_per_ev_cell": 17.94,
  "crystal_system": "orthorhombic",
  "sg": "Immm (71)"
}